No. 1
# PBE Be4Si, optimized geometry
data_Be4Si
_space_group_name_H-M_alt 'I 4/m'
_space_group_IT_number 87
_space_group_name_Hall '-I 4'
_cell_length_a 5.3731
_cell_length_b 5.3731
_cell_length_c 3.3330
_cell_angle_alpha 90.00
_cell_angle_beta 90.00
_cell_angle_gamma 90.00
loop_
_atom_site_label
_atom_site_type_symbol
_atom_site_fract_x
_atom_site_fract_y
_atom_site_fract_z
Be1 Be 0.0972 0.3060 0.0000
Si1 Si 0.0000 0.0000 0.5000
# Calculated total energy: -19.02 eV per formula unit
# Total magnetic moment: 0.0 μB/f.u.
# Energy relative to the lowest polymorph listed for this composition: 0.000 eV/atom
# Calculated volume: 9.6 Å³/atom

No. 2
# PBE BeSi, optimized geometry
data_BeSi
_space_group_name_H-M_alt 'I 4/m'
_space_group_IT_number 87
_space_group_name_Hall '-I 4'
_cell_length_a 8.1196
_cell_length_b 8.1196
_cell_length_c 3.4996
_cell_angle_alpha 90.00
_cell_angle_beta 90.00
_cell_angle_gamma 90.00
loop_
_atom_site_label
_atom_site_type_symbol
_atom_site_fract_x
_atom_site_fract_y
_atom_site_fract_z
Be1 Be 0.0555 0.8175 0.0000
Si1 Si 0.1713 0.6734 0.5000
# Calculated total energy: -8.45 eV per formula unit
# Total magnetic moment: 0.0 μB/f.u.
# Energy relative to the lowest polymorph listed for this composition: 0.122 eV/atom
# Calculated volume: 14.4 Å³/atom

No. 3
# PBE BeSi, optimized geometry
data_BeSi
_space_group_name_H-M_alt 'P 4/m'
_space_group_IT_number 83
_space_group_name_Hall '-P 4'
_cell_length_a 8.4998
_cell_length_b 8.4998
_cell_length_c 3.7275
_cell_angle_alpha 90.00
_cell_angle_beta 90.00
_cell_angle_gamma 90.00
loop_
_atom_site_label
_atom_site_type_symbol
_atom_site_fract_x
_atom_site_fract_y
_atom_site_fract_z
Be1 Be 0.1453 0.6801 0.0000
Be2 Be 0.2632 0.2664 0.5000
Si1 Si 0.1170 0.3066 0.0000
Si2 Si 0.1394 0.5084 0.5000
# Calculated total energy: -8.37 eV per formula unit
# Total magnetic moment: 0.0 μB/f.u.
# Energy relative to the lowest polymorph listed for this composition: 0.162 eV/atom
# Calculated volume: 16.8 Å³/atom

No. 4
# PBE BeSi, optimized geometry
data_BeSi
_space_group_name_H-M_alt 'P 4/n m m'
_space_group_IT_number 129
_cell_length_a 2.5223
_cell_length_b 2.5223
_cell_length_c 7.1846
_cell_angle_alpha 90.00
_cell_angle_beta 90.00
_cell_angle_gamma 90.00
loop_
_space_group_symop_operation_xyz
'x,y,z'
'-x,-y,-z'
'-y+1/2,x,z'
'y+1/2,-x,-z'
'-x+1/2,-y+1/2,z'
'x+1/2,y+1/2,-z'
'y,-x+1/2,z'
'-y,x+1/2,-z'
'x+1/2,-y,-z'
'-x+1/2,y,z'
'-y,-x,-z'
'y,x,z'
'-x,y+1/2,-z'
'x,-y+1/2,z'
'y+1/2,x+1/2,-z'
'-y+1/2,-x+1/2,z'
loop_
_atom_site_label
_atom_site_type_symbol
_atom_site_fract_x
_atom_site_fract_y
_atom_site_fract_z
Be1 Be 0.2500 0.2500 0.0980
Si1 Si 0.2500 0.2500 0.6544
# Calculated total energy: -8.43 eV per formula unit
# Total magnetic moment: 0.0 μB/f.u.
# Energy relative to the lowest polymorph listed for this composition: 0.131 eV/atom
# Calculated volume: 11.4 Å³/atom

No. 5
# PBE BeSi, optimized geometry
data_BeSi
_space_group_name_H-M_alt 'F 2 2 2'
_space_group_IT_number 22
_space_group_name_Hall 'F 2 2'
_cell_length_a 3.8588
_cell_length_b 3.8772
_cell_length_c 7.0655
_cell_angle_alpha 90.00
_cell_angle_beta 90.00
_cell_angle_gamma 90.00
loop_
_atom_site_label
_atom_site_type_symbol
_atom_site_fract_x
_atom_site_fract_y
_atom_site_fract_z
Be1 Be 0.0000 0.0000 0.0000
Si1 Si 0.2500 0.2500 0.7500
# Calculated total energy: -8.54 eV per formula unit
# Total magnetic moment: 0.0 μB/f.u.
# Energy relative to the lowest polymorph listed for this composition: 0.075 eV/atom
# Calculated volume: 13.2 Å³/atom

No. 6
# PBE Be3Si, optimized geometry
data_Be3Si
_space_group_name_H-M_alt 'R -3 m'
_space_group_IT_number 166
_space_group_name_Hall '-R 3 2"'
_cell_length_a 2.4004
_cell_length_b 2.4004
_cell_length_c 23.9336
_cell_angle_alpha 90.00
_cell_angle_beta 90.00
_cell_angle_gamma 120.00
loop_
_atom_site_label
_atom_site_type_symbol
_atom_site_fract_x
_atom_site_fract_y
_atom_site_fract_z
Be1 Be 0.0000 0.0000 0.0000
Be2 Be 0.0000 0.0000 0.2574
Si1 Si 0.0000 0.0000 0.5000
# Calculated total energy: -15.31 eV per formula unit
# Total magnetic moment: 0.0 μB/f.u.
# Energy relative to the lowest polymorph listed for this composition: 0.175 eV/atom
# Calculated volume: 10.0 Å³/atom

No. 7
# PBE BeSi, optimized geometry
data_BeSi
_space_group_name_H-M_alt 'A e m 2'
_space_group_IT_number 39
_space_group_name_Hall 'A 2 -2b'
_cell_length_a 3.9947
_cell_length_b 3.8172
_cell_length_c 6.9221
_cell_angle_alpha 90.00
_cell_angle_beta 90.00
_cell_angle_gamma 90.00
loop_
_atom_site_label
_atom_site_type_symbol
_atom_site_fract_x
_atom_site_fract_y
_atom_site_fract_z
Be1 Be 0.1612 0.2500 0.0000
Si1 Si 0.3070 0.2500 0.6900
# Calculated total energy: -8.66 eV per formula unit
# Total magnetic moment: 0.0 μB/f.u.
# Energy relative to the lowest polymorph listed for this composition: 0.014 eV/atom
# Calculated volume: 13.2 Å³/atom

No. 8
# PBE BeSi, optimized geometry
data_BeSi
_space_group_name_H-M_alt 'C 1 2/m 1'
_space_group_IT_number 12
_space_group_name_Hall '-C 2y'
_cell_length_a 8.6586
_cell_length_b 2.5306
_cell_length_c 4.1773
_cell_angle_alpha 90.00
_cell_angle_beta 101.05
_cell_angle_gamma 90.00
loop_
_atom_site_label
_atom_site_type_symbol
_atom_site_fract_x
_atom_site_fract_y
_atom_site_fract_z
Be1 Be 0.1419 0.0000 0.3502
Si1 Si 0.1122 0.5000 0.8362
# Calculated total energy: -8.46 eV per formula unit
# Total magnetic moment: 0.0 μB/f.u.
# Energy relative to the lowest polymorph listed for this composition: 0.117 eV/atom
# Calculated volume: 11.2 Å³/atom

Summary of energy relative to the elements, uncorrected in eV per formula unit
1.31, 0.70, 0.78, 0.72, 0.61, 1.30, 0.49, 0.69
(order as listed above)